Computed, not measured: a geometry-optimized K2NdSbO4 structure at the PBE-GGA level of DFT.

a b c (Å): 7.2806 7.3520 10.3095
angles (deg): 90.00 90.00 90.00
Space group Imma (No. 74)
Inequivalent atoms, fractional coordinates:
K: 0.0000 0.0000 0.0000 [4 per cell]
K: 0.2500 0.2500 0.2500 [4 per cell]
Nd: 0.0000 0.0000 0.5000 [4 per cell]
Sb: 0.2500 0.2500 0.7500 [4 per cell]
O: 0.0000 0.0335 0.7334 [8 per cell]
O: 0.2151 0.2500 0.5194 [8 per cell]

magnetization: 0.0 μB per cell
formation energy (no corrections): -1.906 eV/atom
final energy: -5.771 eV per atom